1.
Material: Sm6Ho5Tm
Method: DFT, PBE
State: relaxed

Cell lengths 5.060, 10.058, 9.451 Å; angles 122.15, 105.54, 90.00 degrees
Element x y z (fractional)
Tm1 0.000 0.000 0.000
Ho1 0.667 0.167 0.333
Ho2 0.333 0.334 0.667
Ho3 0.000 0.500 0.000
Ho4 0.667 0.666 0.333
Ho5 0.333 0.833 0.667
Sm1 0.833 0.584 0.667
Sm2 0.833 0.083 0.667
Sm3 0.500 0.751 0.000
Sm4 0.500 0.249 0.000
Sm5 0.167 0.917 0.333
Sm6 0.167 0.416 0.333

Properties
energy of formation from the pure elements: 17 meV/atom

***

2.
Material: BeFe4Rh
Method: DFT, PBE
State: relaxed

Cell lengths 4.662, 4.662, 4.662 Å; angles 60.00, 60.00, 60.00 degrees
Element x y z (fractional)
Be1 0.000 0.000 0.000
Fe1 0.875 0.375 0.375
Fe2 0.375 0.375 0.875
Fe3 0.375 0.875 0.375
Fe4 0.375 0.375 0.375
Rh1 0.750 0.750 0.750

Properties
energy of formation from the pure elements: 137 meV/atom

***

3.
Material: HoEr3Tm6Th2
Method: DFT, PBE
State: relaxed

Cell lengths 6.092, 6.092, 11.612 Å; angles 95.03, 95.03, 119.95 degrees
Element x y z (fractional)
Ho1 0.000 0.000 0.000
Er1 0.166 0.834 0.500
Er2 0.834 0.166 0.500
Er3 0.500 0.500 0.500
Tm1 0.917 0.580 0.751
Tm2 0.746 0.746 0.249
Tm3 0.083 0.420 0.249
Tm4 0.580 0.917 0.751
Tm5 0.254 0.254 0.751
Tm6 0.420 0.083 0.249
Th1 0.333 0.667 0.000
Th2 0.667 0.333 0.000

Properties
energy of formation from the pure elements: 25 meV/atom

***

4.
Material: Cs2InAgBr6
Method: DFT, PBE
State: relaxed

Cell lengths 7.923, 7.923, 7.923 Å; angles 60.00, 60.00, 60.00 degrees
Element x y z (fractional)
Cs1 0.750 0.750 0.750
Cs2 0.250 0.250 0.250
In1 0.000 0.000 0.000
Ag1 0.500 0.500 0.500
Br1 0.756 0.244 0.244
Br2 0.244 0.244 0.756
Br3 0.244 0.756 0.756
Br4 0.244 0.756 0.244
Br5 0.756 0.244 0.756
Br6 0.756 0.756 0.244

Properties
raw formation energy: -1.14 eV per atom

***

5.
Material: Sm5Tl2Au2
Method: DFT, PBE
State: relaxed

Cell lengths 7.469, 8.726, 9.149 Å; angles 118.48, 90.00, 90.00 degrees
Element x y z (fractional)
Sm1 0.000 0.000 0.000
Sm2 0.500 0.500 0.000
Sm3 0.846 0.811 0.258
Sm4 0.154 0.447 0.258
Sm5 0.346 0.947 0.258
Sm6 0.654 0.311 0.258
Sm7 0.154 0.189 0.742
Sm8 0.846 0.553 0.742
Sm9 0.654 0.053 0.742
Sm10 0.346 0.689 0.742
Tl1 0.000 0.211 0.422
Tl2 0.500 0.711 0.422
Tl3 0.000 0.789 0.578
Tl4 0.500 0.289 0.578
Au1 0.632 0.871 0.000
Au2 0.368 0.129 0.000
Au3 0.132 0.629 0.000
Au4 0.868 0.371 0.000

Properties
energy of formation from the pure elements: -495 meV/atom

***

6.
Material: CuPdSe
Method: DFT, PBE
State: relaxed

Cell lengths 4.103, 5.902, 5.006 Å; angles 90.00, 120.31, 90.00 degrees
Element x y z (fractional)
Cu1 0.500 0.159 0.500
Cu2 0.500 0.659 0.000
Se1 0.500 0.726 0.500
Se2 0.500 0.226 0.000
Pd1 0.000 0.944 0.000
Pd2 0.000 0.444 0.500

Properties
raw formation energy: -0.07 eV per atom
energy relative to the lowest polymorph listed for this composition: 75 meV per atom

***

7.
Material: Re4Ru
Method: DFT, PBE
State: relaxed

Cell lengths 6.253, 6.253, 6.253 Å; angles 143.12, 143.12, 53.14 degrees
Element x y z (fractional)
Re1 0.250 0.750 0.500
Re2 0.391 0.391 0.000
Re3 0.609 0.609 0.000
Re4 0.750 0.250 0.500
Ru1 0.000 0.000 0.000

Properties
energy of formation from the pure elements: 859 meV/atom
energy relative to the lowest polymorph listed for this composition: 812 meV per atom

***

8.
Material: Mn2CoHIr
Method: DFT, PBE
State: relaxed

Cell lengths 3.675, 3.675, 3.746 Å; angles 90.00, 90.00, 90.00 degrees
Element x y z (fractional)
H1 0.000 0.000 0.000
Ir1 0.000 0.000 0.500
Co1 0.500 0.500 0.500
Mn1 0.000 0.500 0.000
Mn2 0.500 0.000 0.000

Properties
energy relative to the lowest polymorph listed for this composition: 86 meV per atom

***

9.
Material: ZrAsCl2
Method: DFT, PBE
State: relaxed

Cell lengths 4.731, 4.731, 4.731 Å; angles 60.00, 60.00, 60.00 degrees
Element x y z (fractional)
As1 0.000 0.000 0.000
Zr1 0.500 0.500 0.500
Cl1 0.250 0.250 0.250
Cl2 0.750 0.750 0.750

Properties
raw formation energy: -0.27 eV per atom
energy relative to the lowest polymorph listed for this composition: 800 meV per atom

***

10.
Material: Mo2RhSe
Method: DFT, PBE
State: relaxed

Cell lengths 2.981, 2.981, 6.832 Å; angles 90.00, 90.00, 90.01 degrees
Element x y z (fractional)
Mo1 0.000 0.000 0.986
Mo2 0.000 0.000 0.514
Rh1 0.500 0.500 0.250
Se1 0.500 0.500 0.750

Properties
raw formation energy: 0.01 eV per atom

***

11.
Material: PmPPt2
Method: DFT, PBE
State: relaxed

Cell lengths 4.007, 4.197, 9.380 Å; angles 90.00, 102.33, 90.00 degrees
Element x y z (fractional)
Pm1 0.394 0.250 0.789
Pm2 0.606 0.750 0.211
P1 0.170 0.250 0.341
P2 0.830 0.750 0.659
Pt1 0.737 0.250 0.474
Pt2 0.263 0.750 0.526
Pt3 0.045 0.250 0.090
Pt4 0.955 0.750 0.910

Properties
energy of formation from the pure elements: -1027 meV/atom

***

12.
Material: NdGeRu
Method: DFT, PBE
State: relaxed

Cell lengths 4.123, 4.271, 4.271 Å; angles 120.00, 90.00, 90.00 degrees
Element x y z (fractional)
Ru1 0.166 0.333 0.667
Ge1 0.167 0.000 0.000
Nd1 0.667 0.667 0.333

Properties
energy of formation from the pure elements: -491 meV/atom

***

What are the E values for these records? In order: -55.47 -44.11 -59.63 -28.75 -78.68 -25.98 -54.77 -37.46 -17.96 -32.46 -52.70 -20.14 eV per cell.